(1)
# CrCuO2

An optimized crystal structure of CrCuO2 (GGA-PBEsol, the Alexandria database).

a = 2.9604 Å, b = 2.9604 Å, c = 5.8973 Å
α = 75.46°, β = 75.46°, γ = 60.00°
Closest atoms and distances in Å follow each position.
Fractional coordinates of all 4 atoms:
Cr 0.5000 0.5000 0.5000  6 O 1.98
Cu 0.0000 0.0000 0.0000  2 O 1.83
O 0.8919 0.8919 0.3242  1 Cu 1.83, 3 Cr 1.98
O 0.1081 0.1081 0.6758  1 Cu 1.83, 3 Cr 1.98

Properties
Formation energy without anion corrections ... -1.39 eV per atom
Energy ... -7.655 eV per atom
Space group ... R-3m, No. 166

(2)
# Cr2CuO7

An optimized crystal structure of Cr2CuO7 (GGA-PBEsol, the Alexandria database).

a = 8.1283 Å, b = 10.0308 Å, c = 10.0326 Å
α = 93.10°, β = 90.00°, γ = 90.00°
Closest atoms and distances in Å follow each position.
Fractional coordinates of all 60 atoms:
Cr 0.7266 0.7174 0.8468  4 O 1.60-1.75
Cr 0.2217 0.6333 0.8133  4 O 1.58-1.73
Cr 0.7783 0.1333 0.8133  4 O 1.58-1.73
Cr 0.2734 0.2174 0.8468  4 O 1.60-1.75
Cr 0.7643 0.0473 0.4958  4 O 1.60-1.76
Cr 0.2217 0.8667 0.1867  4 O 1.58-1.73
Cr 0.2357 0.5473 0.4958  4 O 1.60-1.76
Cr 0.7783 0.3667 0.1867  4 O 1.58-1.73
Cr 0.7643 0.4527 0.5042  4 O 1.60-1.76
Cr 0.2357 0.9527 0.5042  4 O 1.60-1.76
Cr 0.2734 0.2826 0.1532  4 O 1.60-1.75
Cr 0.7266 0.7826 0.1532  4 O 1.60-1.75
Cu 0.0723 0.5729 0.1434  4 O 1.89-1.91
Cu 0.9277 0.4271 0.8566  4 O 1.89-1.91
Cu 0.5809 0.7500 0.5000  4 O 1.90-1.92
Cu 0.0723 0.9271 0.8566  4 O 1.89-1.91
Cu 0.4191 0.2500 0.5000  4 O 1.90-1.92
Cu 0.9277 0.0729 0.1434  4 O 1.89-1.91
O 0.2374 0.0563 0.8303  1 Cr 1.64
O 0.2406 0.7057 0.1472  1 Cr 1.65
O 0.3733 0.2500 0.0000  2 Cr 1.75
O 0.1089 0.9115 0.6165  1 Cr 1.60
O 0.6075 0.4374 0.1662  1 Cr 1.58
O 0.1002 0.3009 0.8485  1 Cr 1.64
O 0.8436 0.1102 0.6494  2 Cr 1.73-1.76
O 0.8912 0.4115 0.6165  1 Cr 1.60
O 0.2516 0.1159 0.5062  1 Cr 1.64
O 0.6075 0.0626 0.8338  1 Cr 1.58
O 0.2516 0.3841 0.4938  1 Cr 1.64
O 0.5850 0.1175 0.4793  1 Cr 1.63
O 0.0788 0.9344 0.0916  1 Cr 1.67
O 0.8998 0.8009 0.8485  1 Cr 1.64
O 0.1564 0.8898 0.3506  2 Cr 1.73-1.76
O 0.8436 0.3898 0.3506  2 Cr 1.73-1.76
O 0.1002 0.1991 0.1515  1 Cr 1.64
O 0.3925 0.5626 0.8338  1 Cr 1.58
O 0.7626 0.5563 0.8303  1 Cr 1.64
O 0.4150 0.8825 0.5207  1 Cr 1.63
O 0.6108 0.7394 0.2722  1 Cr 1.60
O 0.7484 0.8841 0.4938  1 Cr 1.64
O 0.9212 0.4344 0.0916  1 Cr 1.67
O 0.7484 0.6159 0.5062  1 Cr 1.64
O 0.1088 0.5885 0.3835  1 Cr 1.60
O 0.4150 0.6175 0.4793  1 Cr 1.63
O 0.8911 0.0885 0.3835  1 Cr 1.60
O 0.3892 0.2394 0.2722  1 Cr 1.60
O 0.3892 0.2606 0.7278  1 Cr 1.60
O 0.9212 0.0656 0.9084  1 Cr 1.67
O 0.8998 0.6991 0.1515  1 Cr 1.64
O 0.2374 0.4437 0.1697  1 Cr 1.64
O 0.6267 0.7500 0.0000  2 Cr 1.75
O 0.7594 0.2057 0.1472  1 Cr 1.65
O 0.3925 0.9374 0.1662  1 Cr 1.58
O 0.0788 0.5656 0.9084  1 Cr 1.67
O 0.7626 0.9437 0.1697  1 Cr 1.64
O 0.2406 0.7943 0.8528  1 Cr 1.65
O 0.5850 0.3825 0.5207  1 Cr 1.63
O 0.1564 0.6102 0.6494  2 Cr 1.73-1.76
O 0.7594 0.2943 0.8528  1 Cr 1.65
O 0.6108 0.7606 0.7278  1 Cr 1.60

Properties
Formation energy without anion corrections ... -1.39 eV per atom
Energy ... -7.547 eV per atom
Space group ... P2/c, No. 13

(3)
# CrCuO2

An optimized crystal structure of CrCuO2 (GGA-PBEsol, the Alexandria database).

a = 2.9604 Å, b = 2.9604 Å, c = 11.2892 Å
α = 90.00°, β = 90.00°, γ = 120.00°
Closest atoms and distances in Å follow each position.
Fractional coordinates of all 8 atoms:
Cr 0.0000 0.0000 0.5000  6 O 1.98
Cr 0.0000 0.0000 0.0000  6 O 1.98
Cu 0.3333 0.6667 0.2500  2 O 1.83
Cu 0.6667 0.3333 0.7500  2 O 1.83
O 0.6667 0.3333 0.5879  1 Cu 1.83, 3 Cr 1.98
O 0.3333 0.6667 0.0879  1 Cu 1.83, 3 Cr 1.98
O 0.3333 0.6667 0.4121  1 Cu 1.83, 3 Cr 1.98
O 0.6667 0.3333 0.9121  1 Cu 1.83, 3 Cr 1.98

Properties
Formation energy without anion corrections ... -1.39 eV per atom
Energy ... -7.655 eV per atom
Space group ... P6_3/mmc, No. 194

(4)
# Cr2CuO4

An optimized crystal structure of Cr2CuO4 (GGA-PBEsol, the Alexandria database).

a = 5.8257 Å, b = 5.8257 Å, c = 5.8257 Å
α = 90.03°, β = 119.98°, γ = 119.98°
Closest atoms and distances in Å follow each position.
Fractional coordinates of all 14 atoms:
Cr 0.2500 0.3750 0.6250  6 O 1.96
Cr 0.7500 0.3750 0.1250  6 O 1.96
Cr 0.7500 0.3750 0.6250  6 O 1.96
Cr 0.2500 0.8750 0.6250  6 O 1.96
O 0.2235 0.6118 0.8354  3 Cr 1.96, 1 Cu 1.97
O 0.7765 0.6118 0.3883  3 Cr 1.96, 1 Cu 1.97
O 0.7235 0.1382 0.8617  3 Cr 1.96, 1 Cu 1.97
O 0.2765 0.1382 0.4146  3 Cr 1.96, 1 Cu 1.97
O 0.7765 0.1646 0.3882  3 Cr 1.96, 1 Cu 1.97
O 0.2235 0.6117 0.3882  3 Cr 1.96, 1 Cu 1.97
O 0.2765 0.1383 0.8618  3 Cr 1.96, 1 Cu 1.97
O 0.7235 0.5854 0.8618  3 Cr 1.96, 1 Cu 1.97
Cu 0.5000 0.7500 0.2500  4 O 1.97
Cu 0.0000 0.0000 0.0000  4 O 1.97

Properties
Formation energy without anion corrections ... -1.60 eV per atom
Energy ... -8.140 eV per atom
Space group ... Fd-3m, No. 227